Record 1
BaSb3S | GGA-PBE | relaxed

Structure (extended XYZ):
```
5
Lattice="-5.748 -0.917 2.444 -0.801 -5.005 -3.762 2.484 -3.735 4.441" Properties=species:S:1:pos:R:3 pbc="T T T"
Sb -0.400 -2.503 -1.881
Sb 1.242 -1.868 2.221
Sb -2.874 -0.459 1.222
S -2.032 -4.829 1.562
Ba 0.000 0.000 0.000
```

Symmetry   No. 221
ρ   3530 kg/m³
Uncorrected formation energy   1.316 eV/atom

---

Record 2
Ba2Sb2S5 | GGA-PBE | relaxed

Structure (extended XYZ):
```
18
Lattice="-6.802 3.760 0.301 0.198 -0.265 7.770 7.798 6.373 -3.873" Properties=species:S:1:pos:R:3 pbc="T T T"
Ba 1.004 1.691 4.038
Ba 0.196 8.170 0.387
Ba -2.328 3.611 0.296
Ba 3.528 6.250 4.129
Sb 0.001 -0.002 0.053
Sb -3.301 1.746 4.089
Sb 2.394 3.968 0.650
Sb -1.170 5.861 4.697
S 5.927 6.911 1.849
S -4.643 2.838 5.872
S 6.132 6.875 -2.049
S -5.046 3.138 2.000
S 0.600 2.760 -0.603
S 0.560 7.155 3.440
S -1.327 3.748 3.372
S 2.487 6.167 -0.535
S 3.666 3.207 3.500
S -2.493 6.689 -0.117
```

Symmetry   No. 46
ρ   4013 kg/m³
Uncorrected formation energy   -1.058 eV/atom

---

Record 3
Ba2SbS | GGA-PBE | relaxed

Structure (extended XYZ):
```
8
Lattice="-4.596 -0.686 0.791 -0.401 -2.255 -4.291 2.874 -10.203 7.849" Properties=species:S:1:pos:R:3 pbc="T T T"
Ba -2.636 -5.931 0.606
Ba 0.512 -7.213 3.742
Ba -1.342 -11.414 3.367
Ba -0.781 -1.730 0.982
Sb 1.282 -10.477 5.385
Sb -3.406 -2.667 -1.036
S -0.130 -4.491 2.372
S -1.993 -8.654 1.977
```

Symmetry   No. 63
ρ   4788 kg/m³
Uncorrected formation energy   -1.410 eV/atom

---

Record 4
BaSbS3 | GGA-PBE | relaxed

Structure (extended XYZ):
```
5
Lattice="-1.998 4.649 -0.670 -4.688 -2.019 -0.026 -0.289 0.605 5.060" Properties=species:S:1:pos:R:3 pbc="T T T"
Sb 0.000 0.000 0.000
S -2.344 -1.009 -0.013
S -0.144 0.303 2.530
S -0.999 2.325 -0.335
Ba -3.487 1.618 2.182
```

Symmetry   No. 221
ρ   4436 kg/m³
Uncorrected formation energy   -0.865 eV/atom

---

Record 5
Ba2SbS | GGA-PBE | relaxed

Structure (extended XYZ):
```
8
Lattice="8.587 0.000 0.000 0.000 8.587 0.000 4.293 4.293 4.666" Properties=species:S:1:pos:R:3 pbc="T T T"
Sb 0.000 0.000 0.000
Sb 8.587 4.293 2.333
S 4.293 4.293 0.000
S 4.293 8.587 2.333
Ba 6.075 2.147 1.166
Ba 2.512 6.440 1.166
Ba 6.440 6.805 3.499
Ba 10.733 10.368 3.499
```

Symmetry   No. 122
ρ   4137 kg/m³
Uncorrected formation energy   -1.171 eV/atom

---

Record 6
Ba4SbS2 | GGA-PBE | relaxed

Structure (extended XYZ):
```
14
Lattice="4.742 0.000 0.000 -2.371 7.538 0.000 0.000 0.000 15.449" Properties=species:S:1:pos:R:3 pbc="T T T"
Ba 2.371 4.058 1.844
Ba 2.371 4.058 5.881
Ba 0.000 3.480 13.605
Ba 0.000 3.480 9.568
Ba 2.371 6.710 11.587
Ba 0.000 0.828 3.862
Ba 2.371 0.000 0.000
Ba 2.371 0.000 7.725
Sb 2.371 1.723 11.587
Sb 0.000 5.815 3.862
S 0.000 2.005 6.837
S 2.371 5.533 14.562
S 0.000 2.005 0.887
S 2.371 5.533 8.612
```

Symmetry   No. 63
ρ   4422 kg/m³
Uncorrected formation energy   -1.519 eV/atom

---

Record 7
BaSbS3 | GGA-PBE | relaxed

Structure (extended XYZ):
```
10
Lattice="7.124 0.000 -2.283 0.000 5.103 0.000 -0.488 0.000 9.536" Properties=species:S:1:pos:R:3 pbc="T T T"
Ba 4.737 4.848 1.976
Ba 1.899 2.296 5.276
Sb 0.730 2.296 1.238
Sb 5.906 4.848 6.015
S 0.140 4.848 6.325
S 5.402 2.295 6.544
S 2.958 2.296 2.301
S 3.679 4.847 4.952
S 1.234 4.846 0.709
S 6.496 2.297 0.928
```

Symmetry   No. 11
ρ   3461 kg/m³
Uncorrected formation energy   -0.914 eV/atom

---

Record 8
Ba2Sb2S5 | GGA-PBE | relaxed

Structure (extended XYZ):
```
9
Lattice="-1.572 -5.142 0.744 1.038 1.429 -7.739 6.432 -1.430 3.702" Properties=species:S:1:pos:R:3 pbc="T T T"
Ba 4.738 -1.904 -3.153
Ba 1.161 -3.240 -0.141
Sb 5.692 -1.600 0.965
Sb 0.206 -3.544 -4.258
S 0.799 -0.940 -4.814
S 5.100 -4.204 1.520
S 3.588 -1.135 -0.263
S 2.310 -4.009 -3.031
S 0.000 0.000 0.000
```

Symmetry   No. 12
ρ   4069 kg/m³
Uncorrected formation energy   -1.013 eV/atom

---

Record 9
Ba5SbS8 | GGA-PBE | relaxed

Structure (extended XYZ):
```
14
Lattice="-5.662 -5.897 1.742 6.655 -0.262 5.051 -4.421 7.051 0.778" Properties=species:S:1:pos:R:3 pbc="T T T"
Ba 1.929 0.878 2.212
Ba -0.161 -3.425 6.029
Ba -2.985 -0.257 4.766
Ba -5.041 0.577 1.260
Ba -5.639 4.589 2.134
Sb -1.404 3.683 3.544
S -0.246 5.618 4.455
S -2.428 4.916 1.716
S -4.109 -2.057 2.584
S -5.101 2.175 3.906
S -0.008 -1.090 4.084
S -1.697 2.601 5.702
S -1.244 1.598 2.304
S 2.360 2.757 4.567
```

Symmetry   No. 82
ρ   3976 kg/m³
Uncorrected formation energy   -1.305 eV/atom

---

Record 10
Ba2SbS3 | GGA-PBE | relaxed

Structure (extended XYZ):
```
6
Lattice="-0.178 -1.757 3.777 -2.896 -3.900 -1.950 8.491 -1.495 -2.595" Properties=species:S:1:pos:R:3 pbc="T T T"
Ba 0.520 -4.107 0.416
Ba 4.897 -3.044 -1.184
Sb 0.000 0.000 0.000
S -1.448 -1.950 -0.975
S 3.136 -5.733 -0.217
S 2.281 -1.418 -0.552
```

Symmetry   No. 71
ρ   4484 kg/m³
Uncorrected formation energy   -1.406 eV/atom

---

Record 11
Ba2Sb3S8 | GGA-PBE | relaxed

Structure (extended XYZ):
```
13
Lattice="6.711 0.000 0.196 0.000 7.935 0.000 -2.477 -3.968 7.023" Properties=species:S:1:pos:R:3 pbc="T T T"
Ba 0.819 0.000 3.856
Ba 3.415 3.968 3.363
Sb 3.356 0.000 0.098
Sb 0.000 2.074 0.000
Sb 0.000 5.862 0.000
S -0.519 3.968 1.720
S 4.753 0.000 5.499
S 5.367 0.000 1.679
S -1.134 3.968 5.541
S 2.017 2.205 5.713
S 2.017 -2.205 5.713
S 2.217 6.173 1.507
S 2.217 1.763 1.507
```

Symmetry   No. 12
ρ   3940 kg/m³
Uncorrected formation energy   -0.724 eV/atom

---

Record 12
BaSbS2 | GGA-PBE | relaxed

Structure (extended XYZ):
```
16
Lattice="4.641 0.000 0.000 0.000 8.926 0.000 0.000 0.000 16.407" Properties=species:S:1:pos:R:3 pbc="T T T"
Ba 3.481 6.409 12.227
Ba 1.160 6.980 4.024
Ba 1.160 2.517 4.180
Ba 3.481 1.946 12.383
Sb 3.481 0.518 6.555
Sb 1.160 3.945 14.759
Sb 1.160 8.408 9.851
Sb 3.481 4.981 1.648
S 3.481 0.620 9.595
S 1.160 3.842 1.392
S 1.160 8.305 6.812
S 3.481 5.083 15.015
S 3.481 4.718 4.267
S 1.160 8.671 12.470
S 1.160 4.208 12.140
S 3.481 0.255 3.936
```

Symmetry   No. 62
ρ   3159 kg/m³
Uncorrected formation energy   -0.969 eV/atom

---

no.,final energy (eV per atom)
1,-2.37
2,-4.69
3,-4.43
4,-4.55
5,-4.20
6,-4.39
7,-4.60
8,-4.65
9,-4.64
10,-4.80
11,-4.51
12,-4.54